# 1
Compound: NbTcMo2
Source: Alexandria via LeMat-Bulk
Functional: PBE
Structure: relaxed

Output
The volume is 64.0 Å³/f.u. The calculated total energy is -42.305 eV/f.u. Its crystal system is cubic. Its mass density is 9926 kg/m3.

a b c (Å): 6.3509 6.3509 6.3509
angles (deg): 90.00 90.00 90.00
Closest atoms and distances in Å follow each position.
Space group Fm-3m (No. 225)
Asymmetric unit:
Nb: 0.0000 0.0000 0.0000 (multiplicity 4)  8 Mo 2.75
Tc: 0.0000 0.0000 0.5000 (multiplicity 4)  8 Mo 2.75
Mo: 0.2500 0.2500 0.2500 (multiplicity 8)  4 Tc 2.75, 4 Nb 2.75

---

# 2
Compound: Nb2TcMo6
Source: Alexandria via LeMat-Bulk
Functional: PBE
Structure: relaxed

Output
The volume is 152.1 Å³/f.u. The calculated total energy is -93.346 eV/f.u. Its crystal system is triclinic. Its mass density is 9381 kg/m3.

a b c (Å): 4.9741 5.0905 6.6611
angles (deg): 102.78 111.73 90.16
Closest atoms and distances in Å follow each position.
Space group P-1 (No. 2)
Asymmetric unit:
Nb: 0.1077 0.0743 0.2163 (multiplicity 2)  1 Mo 2.55, 1 Nb 2.60, 2 Tc 2.81
Tc: 0.5000 0.0000 0.0000 (multiplicity 1)  2 Mo 2.51, 4 Nb 2.81
Mo: 0.2384 0.6305 0.4773 (multiplicity 2)  2 Mo 2.56-2.86
Mo: 0.2427 0.5001 0.9994 (multiplicity 2)  2 Mo 2.42-2.56
Mo: 0.3206 0.1435 0.6390 (multiplicity 2)  1 Tc 2.51, 1 Nb 2.55, 1 Mo 2.56

---

# 3
Compound: Ti2NbTc6Mo2
Source: Alexandria via LeMat-Bulk
Functional: PBE
Structure: relaxed

Output
The volume is 207.2 Å³/f.u. The calculated total energy is -104.411 eV/f.u. Its crystal system is trigonal. Its mass density is 7761 kg/m3.

a b c (Å): 5.1035 5.1035 27.5611
angles (deg): 90.00 90.00 120.00
Closest atoms and distances in Å follow each position.
Space group R-3m (No. 166, hexagonal axes)
Asymmetric unit:
Ti: 0.0000 0.0000 0.1686 (multiplicity 6)  6 Tc 2.73-2.84, 3 Ti 2.95
Nb: 0.0000 0.0000 0.0000 (multiplicity 3)  6 Tc 2.68
Tc: 0.0040 0.5020 0.4141 (multiplicity 18)  4 Tc 2.52-2.58, 1 Nb 2.68, 1 Ti 2.73, 2 Mo 2.78
Mo: 0.0000 0.0000 0.4542 (multiplicity 6)  1 Mo 2.52, 6 Tc 2.78

---

# 4
Compound: TiNbTcMo
Source: Alexandria via LeMat-Bulk
Functional: PBE
Structure: relaxed

Output
The volume is 64.1 Å³/f.u. The calculated total energy is -40.272 eV/f.u. Its crystal system is cubic. Its mass density is 8676 kg/m3.

a b c (Å): 6.3516 6.3516 6.3516
angles (deg): 90.00 90.00 90.00
Closest atoms and distances in Å follow each position.
Space group F-43m (No. 216)
Asymmetric unit:
Ti: 0.0000 0.0000 0.0000 (multiplicity 4)  4 Mo 2.75, 4 Tc 2.75
Nb: 0.0000 0.0000 0.5000 (multiplicity 4)  4 Mo 2.75, 4 Tc 2.75
Tc: 0.2500 0.2500 0.2500 (multiplicity 4)  4 Nb 2.75, 4 Ti 2.75
Mo: 0.2500 0.2500 0.7500 (multiplicity 4)  4 Ti 2.75, 4 Nb 2.75

---

# 5
Compound: Ti2NbTc2Mo6
Source: Alexandria via LeMat-Bulk
Functional: PBE
Structure: relaxed

Output
The volume is 207.4 Å³/f.u. The calculated total energy is -103.190 eV/f.u. Its crystal system is trigonal. Its mass density is 7690 kg/m3.

a b c (Å): 5.1865 5.1865 26.7044
angles (deg): 90.00 90.00 120.00
Closest atoms and distances in Å follow each position.
Space group R-3m (No. 166, hexagonal axes)
Asymmetric unit:
Ti: 0.0000 0.0000 0.1689 (multiplicity 6)  6 Mo 2.69-2.81, 3 Ti 3.00
Nb: 0.0000 0.0000 0.0000 (multiplicity 3)  6 Mo 2.62
Tc: 0.0000 0.0000 0.3508 (multiplicity 6)  9 Mo 3.00-3.09, 3 Nb 3.03, 3 Tc 3.14
Mo: 0.0027 0.5013 0.4136 (multiplicity 18)  4 Mo 2.57-2.61, 1 Nb 2.62, 2 Ti 2.69-2.81

---

# 6
Compound: TiNbTcMo
Source: Alexandria via LeMat-Bulk
Functional: PBE
Structure: relaxed

Output
The volume is 69.1 Å³/f.u. The calculated total energy is -37.819 eV/f.u. Its crystal system is orthorhombic. Its mass density is 8049 kg/m3.

a b c (Å): 2.9375 3.0251 7.7711
angles (deg): 90.00 90.00 90.00
Closest atoms and distances in Å follow each position.
Space group Pmm2 (No. 25)
Asymmetric unit:
Ti: 0.0000 0.0000 0.0000 (multiplicity 1)  4 Tc 2.63, 2 Mo 2.66, 2 Ti 2.94
Nb: 0.0000 0.0000 0.4248 (multiplicity 1)  4 Tc 2.73, 2 Mo 2.74, 4 Nb 2.94-3.03
Tc: 0.5000 0.5000 0.2018 (multiplicity 1)  4 Ti 2.63, 4 Nb 2.73, 2 Tc 2.94
Mo: 0.0000 0.5000 0.7185 (multiplicity 1)  2 Ti 2.66, 2 Nb 2.74, 2 Mo 2.94

---

# 7
Compound: Nb2TcMo6W
Source: Alexandria via LeMat-Bulk
Functional: PBE
Structure: relaxed

Output
The volume is 170.7 Å³/f.u. The calculated total energy is -103.170 eV/f.u. Its crystal system is trigonal. Its mass density is 10150 kg/m3.

a b c (Å): 7.7000 7.7000 9.9723
angles (deg): 90.00 90.00 120.00
Closest atoms and distances in Å follow each position.
Space group R32 (No. 155, hexagonal axes)
Asymmetric unit:
Nb: 0.0000 0.0000 0.2476 (multiplicity 6)  1 Tc 2.47, 1 W 2.52, 6 Mo 2.69-2.72
Tc: 0.0000 0.0000 0.0000 (multiplicity 3)  2 Nb 2.47, 3 Mo 2.54
Mo: 0.0000 0.3296 0.0000 (multiplicity 9)  1 Tc 2.54, 2 Nb 2.72
Mo: 0.0000 0.6673 0.5000 (multiplicity 9)  1 W 2.56, 2 Nb 2.69
W: 0.0000 0.0000 0.5000 (multiplicity 3)  2 Nb 2.52, 3 Mo 2.56

---

# 8
Compound: NbTcMoW
Source: Alexandria via LeMat-Bulk
Functional: PBE
Structure: relaxed

Output
The volume is 64.4 Å³/f.u. The calculated total energy is -44.804 eV/f.u. Its crystal system is orthorhombic. Its mass density is 12137 kg/m3.

a b c (Å): 3.1801 4.4966 4.5033
angles (deg): 90.00 90.00 90.00
Closest atoms and distances in Å follow each position.
Space group Pmmm (No. 47)
Asymmetric unit:
Nb: 0.0000 0.0000 0.0000 (multiplicity 1)  4 Tc 2.75, 4 Mo 2.76
Tc: 0.5000 0.5000 0.0000 (multiplicity 1)  4 Nb 2.75, 4 W 2.76
Mo: 0.5000 0.0000 0.5000 (multiplicity 1)  4 W 2.75, 4 Nb 2.76
W: 0.0000 0.5000 0.5000 (multiplicity 1)  4 Mo 2.75, 4 Tc 2.76

---

# 9
Compound: NbTcMoW
Source: Alexandria via LeMat-Bulk
Functional: PBE
Structure: relaxed

Output
The volume is 64.3 Å³/f.u. The calculated total energy is -44.831 eV/f.u. Its crystal system is cubic. Its mass density is 12160 kg/m3.

a b c (Å): 6.3587 6.3587 6.3587
angles (deg): 90.00 90.00 90.00
Closest atoms and distances in Å follow each position.
Space group F-43m (No. 216)
Asymmetric unit:
Nb: 0.0000 0.0000 0.0000 (multiplicity 4)  4 Mo 2.75, 4 Tc 2.75
Tc: 0.2500 0.2500 0.2500 (multiplicity 4)  4 W 2.75, 4 Nb 2.75
Mo: 0.2500 0.2500 0.7500 (multiplicity 4)  4 Nb 2.75, 4 W 2.75
W: 0.0000 0.0000 0.5000 (multiplicity 4)  4 Mo 2.75, 4 Tc 2.75

---

# 10
Compound: ZrNbTcMo
Source: Alexandria via LeMat-Bulk
Functional: PBE
Structure: relaxed

Output
The volume is 69.5 Å³/f.u. The calculated total energy is -40.572 eV/f.u. Its crystal system is cubic. Its mass density is 9028 kg/m3.

a b c (Å): 6.5277 6.5277 6.5277
angles (deg): 90.00 90.00 90.00
Closest atoms and distances in Å follow each position.
Space group F-43m (No. 216)
Asymmetric unit:
Zr: 0.0000 0.0000 0.0000 (multiplicity 4)  4 Mo 2.83, 4 Tc 2.83
Nb: 0.0000 0.0000 0.5000 (multiplicity 4)  4 Tc 2.83, 4 Mo 2.83
Tc: 0.2500 0.2500 0.7500 (multiplicity 4)  4 Zr 2.83, 4 Nb 2.83
Mo: 0.2500 0.2500 0.2500 (multiplicity 4)  4 Zr 2.83, 4 Nb 2.83

---

# 11
Compound: ZrNb2TcMo
Source: Alexandria via LeMat-Bulk
Functional: PBE
Structure: relaxed

Output
The volume is 108.6 Å³/f.u. The calculated total energy is -44.625 eV/f.u. Its crystal system is tetragonal. Its mass density is 7203 kg/m3.

a b c (Å): 4.7978 4.7978 4.7167
angles (deg): 90.00 90.00 90.00
Closest atoms and distances in Å follow each position.
Space group P4/mmm (No. 123)
Asymmetric unit:
Zr: 0.0000 0.0000 0.0000 (multiplicity 1)  8 Nb 3.36, 4 Tc 3.39
Nb: 0.0000 0.5000 0.5000 (multiplicity 2)  2 Mo 2.40
Tc: 0.5000 0.5000 0.0000 (multiplicity 1)  2 Mo 2.36
Mo: 0.5000 0.5000 0.5000 (multiplicity 1)  2 Tc 2.36, 4 Nb 2.40

---

# 12
Compound: Nb2TeMo
Source: Alexandria via LeMat-Bulk
Functional: PBE
Structure: relaxed

Output
The volume is 79.8 Å³/f.u. Its crystal system is tetragonal. The value obtained for the raw formation energy is 0.595 eV/atom. Its mass density is 8516 kg/m3.

a b c (Å): 4.0315 4.0315 19.6433
angles (deg): 90.00 90.00 90.00
Closest atoms and distances in Å follow each position.
Space group I-42d (No. 122)
Asymmetric unit:
Nb: 0.2437 0.2500 0.1250 (multiplicity 8)  4 Nb 2.82-2.89, 2 Te 2.83, 2 Mo 2.85
Te: 0.0000 0.0000 0.0000 (multiplicity 4)  4 Nb 2.83, 4 Mo 2.85
Mo: 0.0000 0.0000 0.5000 (multiplicity 4)  4 Nb 2.85, 4 Te 2.85